--- i ---
# MnNiI2O

An optimized crystal structure of MnNiI2O (PBE with a Hubbard U, Alexandria via LeMat-Bulk).

The structure belongs to space group P4/mmm (No. 123); the cell edges are 5.6532, 5.6532 and 3.6637 Å and the angles 90.00°, 90.00° and 90.00°. The distinct sites, in fractional coordinates, are Mn at (0.0000, 0.0000, 0.0000), Ni at (0.5000, 0.5000, 0.5000), I at (0.0000, 0.5000, 0.5000) and O at (0.5000, 0.5000, 0.0000).

For the spin magnetization, the calculation gives 2.9 μB/f.u.

=====

--- ii ---
# MnNiI2O

An optimized crystal structure of MnNiI2O (PBE with a Hubbard U, Alexandria via LeMat-Bulk).

The structure belongs to space group P4/mmm (No. 123); the cell edges are 5.7474, 5.7474 and 3.6980 Å and the angles 90.00°, 90.00° and 90.00°. The distinct sites, in fractional coordinates, are Mn at (0.0000, 0.0000, 0.0000), Ni at (0.5000, 0.5000, 0.5000), I at (0.0000, 0.5000, 0.0000) and O at (0.0000, 0.0000, 0.5000).

For the spin magnetization, the calculation gives 5.1 μB/f.u.

=====

Relative energies, meV per atom: i 148; ii 0.